Te2Ir: relaxed, GGA-PBE.

Results
DFT total energy	-5.030	eV per atom
uncorrected formation energy	0.02	eV per atom
SG	Cmmm (65)
density of states at the Fermi level	2.91	states/eV/cell

Lattice parameters (Å, degrees): 13.201 3.961 3.032 90.00 90.00 90.00
Positions (direct):
Ir 0.000 0.000 0.500
Ir 0.500 0.500 0.500
Te 0.631 0.000 0.500
Te 0.369 0.000 0.500
Te 0.131 0.500 0.500
Te 0.869 0.500 0.500